The following is a PBE calculation of crystalline SrLi4Tc at its relaxed geometry, from the Alexandria database.

* DOS at the Fermi energy: 1.063 states/eV per atom
* total energy: -2.82 eV per atom
* symmetry: F-43m
* size of the total moment: 0.22 μB per atom
* energy relative to the elements: 45.1 kJ per mole of atoms

Cell lengths 5.524, 5.524, 5.524 Å; angles 60.00, 60.00, 60.00 degrees
Positions (direct):
1 Sr 0.000 0.000 0.000
2 Li 0.379 0.379 0.379
3 Li 0.379 0.379 0.863
4 Li 0.379 0.863 0.379
5 Li 0.863 0.379 0.379
6 Tc 0.750 0.750 0.750

The following is a PBE calculation of crystalline MgGaSn4 at its relaxed geometry, from the Alexandria database.

* DOS at the Fermi energy: 0.477 states/eV per atom
* total energy: -3.41 eV per atom
* symmetry: P2_1/c
* size of the total moment: 0.00 μB per atom
* energy relative to the elements: 2.4 kJ per mole of atoms

Cell lengths 6.257, 8.938, 5.970 Å; angles 90.00, 112.95, 90.00 degrees
Positions (direct):
1 Mg 0.000 0.000 0.000
2 Mg 0.000 0.500 0.500
3 Ga 0.500 0.000 0.000
4 Ga 0.500 0.500 0.500
5 Sn 0.107 0.162 0.590
6 Sn 0.107 0.338 0.090
7 Sn 0.424 0.667 0.010
8 Sn 0.424 0.833 0.510
9 Sn 0.576 0.167 0.490
10 Sn 0.576 0.333 0.990
11 Sn 0.893 0.662 0.910
12 Sn 0.893 0.838 0.410

The following is a PBE calculation of crystalline TeIr2OsBr at its relaxed geometry, from the Alexandria database.

* DOS at the Fermi energy: 1.572 states/eV per atom
* formation energy from raw total energies: 196 kJ per mole of atoms
* total energy: -4.72 eV per atom
* symmetry: P4/mmm
* size of the total moment: 0.27 μB per atom

Cell lengths 4.708, 4.708, 4.636 Å; angles 90.00, 90.00, 90.00 degrees
Positions (direct):
1 Te 0.000 0.000 0.000
2 Ir 0.000 0.500 0.500
3 Ir 0.500 0.000 0.500
4 Os 0.500 0.500 0.000
5 Br 0.500 0.500 0.500

The following is a PBE calculation of crystalline Pm5Sm2DyTh at its relaxed geometry, from the Alexandria database.

* DOS at the Fermi energy: 1.486 states/eV per atom
* total energy: -4.87 eV per atom
* symmetry: Cmc2_1
* size of the total moment: 0.00 μB per atom
* energy relative to the elements: 14.6 kJ per mole of atoms

Cell lengths 10.670, 10.670, 10.584 Å; angles 90.00, 90.00, 149.03 degrees
Positions (direct):
1 Pm 0.015 0.985 0.500
2 Pm 0.275 0.725 0.204
3 Pm 0.295 0.705 0.814
4 Pm 0.387 0.613 0.493
5 Pm 0.481 0.519 0.775
6 Pm 0.519 0.481 0.275
7 Pm 0.613 0.387 0.993
8 Pm 0.705 0.295 0.314
9 Pm 0.725 0.275 0.704
10 Pm 0.985 0.015 0.000
11 Sm 0.114 0.886 0.785
12 Sm 0.115 0.885 0.204
13 Sm 0.885 0.115 0.704
14 Sm 0.886 0.114 0.285
15 Dy 0.406 0.594 0.062
16 Dy 0.594 0.406 0.562
17 Th 0.198 0.802 0.506
18 Th 0.802 0.198 0.006

The following is a PBE calculation of crystalline AgTeI2Br at its relaxed geometry, from the Alexandria database.

* DOS at the Fermi energy: 0.562 states/eV per atom
* formation energy from raw total energies: 61 kJ per mole of atoms
* total energy: -1.52 eV per atom
* symmetry: P4/mmm
* energy relative to the lowest polymorph listed for this composition: 0.2600 eV/atom
* size of the total moment: 0.00 μB per atom

Cell lengths 5.873, 5.873, 5.673 Å; angles 90.00, 90.00, 90.00 degrees
Positions (direct):
1 Ag 0.000 0.000 0.000
2 Te 0.500 0.500 0.000
3 I 0.000 0.500 0.500
4 I 0.500 0.000 0.500
5 Br 0.500 0.500 0.500

The following is a PBE calculation of crystalline NdTaNbGe2 at its relaxed geometry, from the Alexandria database.

* DOS at the Fermi energy: 0.472 states/eV per atom
* total energy: -7.75 eV per atom
* symmetry: I-4m2
* size of the total moment: 0.00 μB per atom
* energy relative to the elements: -54.7 kJ per mole of atoms

Cell lengths 6.748, 6.748, 6.748 Å; angles 144.72, 144.72, 50.76 degrees
Positions (direct):
1 Nd 0.000 0.000 0.000
2 Ta 0.250 0.750 0.500
3 Nb 0.750 0.250 0.500
4 Ge 0.395 0.395 0.000
5 Ge 0.605 0.605 0.000

The following is a PBE calculation of crystalline YHgI2Cl at its relaxed geometry, from the Alexandria database.

* formation energy from raw total energies: -118 kJ per mole of atoms
* total energy: -3.57 eV per atom
* symmetry: P4/mmm
* size of the total moment: 0.00 μB per atom

Cell lengths 6.073, 6.073, 5.307 Å; angles 90.00, 90.00, 90.00 degrees
Positions (direct):
1 Y 0.000 0.000 0.000
2 Hg 0.500 0.500 0.500
3 I 0.000 0.500 0.000
4 I 0.500 0.000 0.000
5 Cl 0.000 0.000 0.500

The following is a PBE calculation of crystalline Ce2HgIr at its relaxed geometry, from the Alexandria database.

* DOS at the Fermi energy: 2.893 states/eV per atom
* total energy: -5.79 eV per atom
* symmetry: R-3m
* energy relative to the lowest polymorph listed for this composition: 0.0000 eV/atom
* size of the total moment: 0.34 μB per atom
* energy relative to the elements: -50.9 kJ per mole of atoms

Cell lengths 8.176, 8.176, 8.176 Å; angles 28.71, 28.71, 28.71 degrees
Positions (direct):
1 Ce 0.233 0.233 0.233
2 Ce 0.767 0.767 0.767
3 Hg 0.000 0.000 0.000
4 Ir 0.500 0.500 0.500

The following is a PBE calculation of crystalline LaTm2Cd at its relaxed geometry, from the Alexandria database.

* DOS at the Fermi energy: 1.285 states/eV per atom
* total energy: -3.83 eV per atom
* symmetry: P4/mmm
* energy relative to the lowest polymorph listed for this composition: 0.0060 eV/atom
* size of the total moment: 0.00 μB per atom
* energy relative to the elements: -13.0 kJ per mole of atoms

Cell lengths 3.636, 3.636, 8.942 Å; angles 90.00, 90.00, 90.00 degrees
Positions (direct):
1 La 0.000 0.000 0.000
2 Tm 0.500 0.500 0.285
3 Tm 0.500 0.500 0.715
4 Cd 0.000 0.000 0.500

The following is a PBE calculation of crystalline TiMoC2 at its relaxed geometry, from the Alexandria database.

* DOS at the Fermi energy: 0.240 states/eV per atom
* total energy: -9.71 eV per atom
* symmetry: R-3m
* energy relative to the lowest polymorph listed for this composition: 0.0446 eV/atom
* size of the total moment: 0.00 μB per atom
* energy relative to the elements: -40.1 kJ per mole of atoms

Cell lengths 5.352, 5.352, 5.352 Å; angles 33.28, 33.28, 33.28 degrees
Positions (direct):
1 Ti 0.000 0.000 0.000
2 Mo 0.500 0.500 0.500
3 C 0.251 0.251 0.251
4 C 0.749 0.749 0.749

The following is a PBE calculation of crystalline Ca2TcSe at its relaxed geometry, from the Alexandria database.

* DOS at the Fermi energy: 0.586 states/eV per atom
* formation energy from raw total energies: -16 kJ per mole of atoms
* total energy: -4.63 eV per atom
* symmetry: P4mm
* size of the total moment: 0.00 μB per atom

Cell lengths 3.360, 3.360, 8.565 Å; angles 90.00, 90.00, 90.00 degrees
Positions (direct):
1 Ca 0.000 0.000 0.000
2 Ca 0.500 0.500 0.381
3 Tc 0.500 0.500 0.747
4 Se 0.000 0.000 0.625

The following is a PBE calculation of crystalline Tb3ScTe6 at its relaxed geometry, from the Alexandria database.

* formation energy from raw total energies: -128 kJ per mole of atoms
* total energy: -5.23 eV per atom
* symmetry: P2_1/c
* energy relative to the lowest polymorph listed for this composition: 0.0000 eV/atom
* size of the total moment: 0.00 μB per atom

Cell lengths 7.267, 8.000, 12.996 Å; angles 90.00, 122.47, 90.00 degrees
Positions (direct):
1 Tb 0.000 0.000 0.000
2 Tb 0.000 0.500 0.500
3 Tb 0.308 0.122 0.756
4 Tb 0.308 0.378 0.256
5 Tb 0.692 0.622 0.744
6 Tb 0.692 0.878 0.244
7 Sc 0.500 0.000 0.500
8 Sc 0.500 0.500 0.000
9 Te 0.097 0.046 0.259
10 Te 0.097 0.454 0.759
11 Te 0.248 0.670 0.078
12 Te 0.248 0.830 0.578
13 Te 0.419 0.180 0.076
14 Te 0.419 0.320 0.576
15 Te 0.581 0.680 0.424
16 Te 0.581 0.820 0.924
17 Te 0.752 0.170 0.422
18 Te 0.752 0.330 0.922
19 Te 0.903 0.546 0.241
20 Te 0.903 0.954 0.741